Record 1
Compound: CdOs2
Source: the Alexandria database
Functional: PBE
Structure: relaxed

Summary:
Uncorrected energy in Ry per atom: -0.5454
Excess energy over the best structure of this formula in the dataset in eV/atom: 0.050
Space group: P-3m1
Density of states at the Fermi level in states/eV per cell: 2.33

a b c (Å): 2.805 2.805 7.075
angles (deg): 90.00 90.00 120.00
Sites, in units of the cell vectors:
Cd 0.000 0.000 0.000
Os 0.333 0.667 0.644
Os 0.667 0.333 0.356

***

Record 2
Compound: CdOs2
Source: the Alexandria database
Functional: PBE
Structure: relaxed

Summary:
Uncorrected energy in Ry per atom: -0.5008
Excess energy over the best structure of this formula in the dataset in eV/atom: 0.656
Space group: I4_1/amd
Density of states at the Fermi level in states/eV per cell: 6.78

a b c (Å): 8.069 8.069 8.069
angles (deg): 151.75 151.75 40.39
Sites, in units of the cell vectors:
Cd 0.375 0.625 0.750
Cd 0.625 0.375 0.250
Os 0.045 0.795 0.250
Os 0.205 0.955 0.250
Os 0.795 0.045 0.750
Os 0.955 0.205 0.750

***

Record 3
Compound: Cd3Os
Source: the Alexandria database
Functional: PBE
Structure: relaxed

Summary:
Uncorrected energy in Ry per atom: -0.2211
Excess energy over the best structure of this formula in the dataset in eV/atom: 0.154
Space group: P4/mmm
Density of states at the Fermi level in states/eV per cell: 3.91

a b c (Å): 2.966 2.966 8.829
angles (deg): 90.00 90.00 90.00
Sites, in units of the cell vectors:
Cd 0.000 0.000 0.000
Cd 0.500 0.500 0.276
Cd 0.500 0.500 0.724
Os 0.000 0.000 0.500

***

Record 4
Compound: CdOs4
Source: the Alexandria database
Functional: PBE
Structure: relaxed

Summary:
Uncorrected energy in Ry per atom: -0.6257
Excess energy over the best structure of this formula in the dataset in eV/atom: 0.077
Space group: I4/mmm
Density of states at the Fermi level in states/eV per cell: 6.16

a b c (Å): 6.314 6.314 6.314
angles (deg): 143.69 143.69 52.29
Sites, in units of the cell vectors:
Cd 0.000 0.000 0.000
Os 0.250 0.750 0.500
Os 0.394 0.394 0.000
Os 0.606 0.606 0.000
Os 0.750 0.250 0.500

***

Record 5
Compound: Cd2Os
Source: the Alexandria database
Functional: PBE
Structure: relaxed

Summary:
Uncorrected energy in Ry per atom: -0.2416
Space group: Fd-3m
Density of states at the Fermi level in states/eV per cell: 4.87

a b c (Å): 5.385 5.385 5.385
angles (deg): 60.00 60.00 60.00
Sites, in units of the cell vectors:
Cd 0.000 0.000 0.000
Cd 0.000 0.000 0.500
Cd 0.000 0.500 0.000
Cd 0.500 0.000 0.000
Os 0.375 0.375 0.375
Os 0.625 0.625 0.625

***

Record 6
Compound: Cd3Os
Source: the Alexandria database
Functional: PBE
Structure: relaxed

Summary:
Uncorrected energy in Ry per atom: -0.2104
Excess energy over the best structure of this formula in the dataset in eV/atom: 0.300
Space group: Pm-3n
Density of states at the Fermi level in states/eV per cell: 7.04

a b c (Å): 5.365 5.365 5.365
angles (deg): 90.00 90.00 90.00
Sites, in units of the cell vectors:
Cd 0.000 0.250 0.500
Cd 0.000 0.750 0.500
Cd 0.250 0.500 0.000
Cd 0.500 0.000 0.250
Cd 0.500 0.000 0.750
Cd 0.750 0.500 0.000
Os 0.000 0.000 0.000
Os 0.500 0.500 0.500

***

Record 7
Compound: CdOs8
Source: the Alexandria database
Functional: PBE
Structure: relaxed

Summary:
Uncorrected energy in Ry per atom: -0.7203
Space group: I4/mmm
Density of states at the Fermi level in states/eV per cell: 6.12

a b c (Å): 6.192 6.192 6.192
angles (deg): 95.68 95.68 143.32
Sites, in units of the cell vectors:
Cd 0.000 0.000 0.000
Os 0.000 0.344 0.344
Os 0.000 0.656 0.656
Os 0.323 0.323 0.646
Os 0.323 0.677 0.000
Os 0.344 0.000 0.344
Os 0.656 0.000 0.656
Os 0.677 0.323 0.000
Os 0.677 0.677 0.354

***

Record 8
Compound: Cd3Os
Source: the Alexandria database
Functional: PBE
Structure: relaxed

Summary:
Uncorrected energy in Ry per atom: -0.2217
Excess energy over the best structure of this formula in the dataset in eV/atom: 0.147
Space group: P6_3/mmc
Density of states at the Fermi level in states/eV per cell: 2.75

a b c (Å): 5.962 5.962 4.843
angles (deg): 90.00 90.00 120.00
Sites, in units of the cell vectors:
Cd 0.172 0.345 0.250
Cd 0.172 0.828 0.250
Cd 0.345 0.172 0.750
Cd 0.655 0.828 0.250
Cd 0.828 0.172 0.750
Cd 0.828 0.655 0.750
Os 0.333 0.667 0.750
Os 0.667 0.333 0.250

***

Record 9
Compound: Cd2Os
Source: the Alexandria database
Functional: PBE
Structure: relaxed

Summary:
Uncorrected energy in Ry per atom: -0.2467
Space group: Fm-3m
Density of states at the Fermi level in states/eV per cell: 4.73

a b c (Å): 4.556 4.556 4.556
angles (deg): 60.00 60.00 60.00
Sites, in units of the cell vectors:
Cd 0.250 0.250 0.250
Cd 0.750 0.750 0.750
Os 0.000 0.000 0.000

***

Record 10
Compound: CdOs2
Source: the Alexandria database
Functional: PBE
Structure: relaxed

Summary:
Uncorrected energy in Ry per atom: -0.5186
Excess energy over the best structure of this formula in the dataset in eV/atom: 0.415
Space group: Pnma
Density of states at the Fermi level in states/eV per cell: 13.33

a b c (Å): 5.650 4.000 8.657
angles (deg): 90.00 90.00 90.00
Sites, in units of the cell vectors:
Cd 0.108 0.250 0.085
Cd 0.392 0.750 0.585
Cd 0.608 0.250 0.415
Cd 0.892 0.750 0.915
Os 0.100 0.250 0.416
Os 0.105 0.250 0.724
Os 0.395 0.750 0.224
Os 0.400 0.750 0.916
Os 0.600 0.250 0.084
Os 0.605 0.250 0.776
Os 0.895 0.750 0.276
Os 0.900 0.750 0.584

***

Record 11
Compound: Cd3Os
Source: the Alexandria database
Functional: PBE
Structure: relaxed

Summary:
Uncorrected energy in Ry per atom: -0.2194
Excess energy over the best structure of this formula in the dataset in eV/atom: 0.178
Space group: R-3m
Density of states at the Fermi level in states/eV per cell: 2.16

a b c (Å): 5.547 5.547 5.547
angles (deg): 116.99 116.99 116.99
Sites, in units of the cell vectors:
Cd 0.000 0.500 0.500
Cd 0.500 0.000 0.500
Cd 0.500 0.500 0.000
Os 0.000 0.000 0.000

***

Record 12
Compound: CdOs4
Source: the Alexandria database
Functional: PBE
Structure: relaxed

Summary:
Uncorrected energy in Ry per atom: -0.6314
Excess energy over the best structure of this formula in the dataset in eV/atom: 0.000
Space group: I4/m
Density of states at the Fermi level in states/eV per cell: 5.67

a b c (Å): 4.832 4.832 4.832
angles (deg): 99.43 99.43 132.25
Sites, in units of the cell vectors:
Cd 0.000 0.000 0.000
Os 0.191 0.592 0.783
Os 0.408 0.191 0.599
Os 0.592 0.809 0.401
Os 0.809 0.408 0.217

***

Record 13
Compound: Cd3Os
Source: the Alexandria database
Functional: PBE
Structure: relaxed

Summary:
Uncorrected energy in Ry per atom: -0.2217
Excess energy over the best structure of this formula in the dataset in eV/atom: 0.147
Space group: Pmmm
Density of states at the Fermi level in states/eV per cell: 2.45

a b c (Å): 2.842 4.408 6.000
angles (deg): 90.00 90.00 90.00
Sites, in units of the cell vectors:
Cd 0.000 0.000 0.000
Cd 0.500 0.500 0.266
Cd 0.500 0.500 0.734
Os 0.000 0.000 0.500

***

Record 14
Compound: Cd3Os
Source: the Alexandria database
Functional: PBE
Structure: relaxed

Summary:
Uncorrected energy in Ry per atom: -0.1869
Excess energy over the best structure of this formula in the dataset in eV/atom: 0.619
Space group: Pm-3m
Density of states at the Fermi level in states/eV per cell: 5.47

a b c (Å): 5.290 5.290 5.290
angles (deg): 90.00 90.00 90.00
Sites, in units of the cell vectors:
Cd 0.000 0.000 0.500
Cd 0.000 0.500 0.000
Cd 0.500 0.000 0.000
Os 0.000 0.000 0.000

***

Record 15
Compound: Cd2Os
Source: the Alexandria database
Functional: PBE
Structure: relaxed

Summary:
Uncorrected energy in Ry per atom: -0.2596
Space group: P6_3/mmc
Density of states at the Fermi level in states/eV per cell: 5.03

a b c (Å): 4.745 4.745 5.649
angles (deg): 90.00 90.00 120.00
Sites, in units of the cell vectors:
Cd 0.000 0.000 0.000
Cd 0.000 0.000 0.500
Cd 0.333 0.667 0.250
Cd 0.667 0.333 0.750
Os 0.333 0.667 0.750
Os 0.667 0.333 0.250

***

Record 16
Compound: CdOs2
Source: the Alexandria database
Functional: PBE
Structure: relaxed

Summary:
Uncorrected energy in Ry per atom: -0.4878
Excess energy over the best structure of this formula in the dataset in eV/atom: 0.833
Space group: P6_3/mmc
Density of states at the Fermi level in states/eV per cell: 8.29

a b c (Å): 4.575 4.575 5.348
angles (deg): 90.00 90.00 120.00
Sites, in units of the cell vectors:
Cd 0.333 0.667 0.250
Cd 0.667 0.333 0.750
Os 0.000 0.000 0.000
Os 0.000 0.000 0.500
Os 0.333 0.667 0.750
Os 0.667 0.333 0.250

***

Record 17
Compound: CdOs2
Source: the Alexandria database
Functional: PBE
Structure: relaxed

Summary:
Uncorrected energy in Ry per atom: -0.5210
Excess energy over the best structure of this formula in the dataset in eV/atom: 0.382
Space group: Cmcm
Density of states at the Fermi level in states/eV per cell: 5.96

a b c (Å): 6.603 6.603 3.995
angles (deg): 90.00 90.00 146.07
Sites, in units of the cell vectors:
Cd 0.078 0.922 0.750
Cd 0.922 0.078 0.250
Os 0.250 0.750 0.250
Os 0.394 0.606 0.750
Os 0.606 0.394 0.250
Os 0.750 0.250 0.750

***

Record 18
Compound: Cd5Os
Source: the Alexandria database
Functional: PBE
Structure: relaxed

Summary:
Uncorrected energy in Ry per atom: -0.1706
Excess energy over the best structure of this formula in the dataset in eV/atom: 0.000
Space group: Amm2
Density of states at the Fermi level in states/eV per cell: 3.72

a b c (Å): 4.809 8.510 8.510
angles (deg): 20.26 90.00 90.00
Sites, in units of the cell vectors:
Cd 0.000 0.000 0.000
Cd 0.000 0.302 0.302
Cd 0.500 0.198 0.198
Cd 0.500 0.546 0.546
Cd 0.500 0.878 0.878
Os 0.000 0.651 0.651

***

Record 19
Compound: Cd5Os
Source: the Alexandria database
Functional: PBE
Structure: relaxed

Summary:
Uncorrected energy in Ry per atom: -0.1705
Excess energy over the best structure of this formula in the dataset in eV/atom: 0.001
Space group: Cm
Density of states at the Fermi level in states/eV per cell: 2.62

a b c (Å): 5.843 5.843 7.320
angles (deg): 106.11 106.11 29.87
Sites, in units of the cell vectors:
Cd 0.000 0.000 0.000
Cd 0.042 0.042 0.622
Cd 0.310 0.310 0.695
Cd 0.377 0.377 0.262
Cd 0.664 0.664 0.337
Os 0.712 0.712 0.958

***

Record 20
Compound: Cd3Os
Source: the Alexandria database
Functional: PBE
Structure: relaxed

Summary:
Uncorrected energy in Ry per atom: -0.2225
Excess energy over the best structure of this formula in the dataset in eV/atom: 0.135
Space group: C2/m
Density of states at the Fermi level in states/eV per cell: 1.52

a b c (Å): 5.251 5.251 5.269
angles (deg): 98.33 98.33 31.57
Sites, in units of the cell vectors:
Cd 0.000 0.000 0.000
Cd 0.240 0.240 0.739
Cd 0.760 0.760 0.261
Os 0.500 0.500 0.500

***

Record 21
Compound: CdOs4
Source: the Alexandria database
Functional: PBE
Structure: relaxed

Summary:
Uncorrected energy in Ry per atom: -0.4086
Excess energy over the best structure of this formula in the dataset in eV/atom: 3.030
Space group: Pm-3m
Density of states at the Fermi level in states/eV per cell: 8.02

a b c (Å): 4.677 4.677 4.677
angles (deg): 90.00 90.00 90.00
Sites, in units of the cell vectors:
Cd 0.000 0.000 0.000
Os 0.000 0.000 0.500
Os 0.000 0.500 0.000
Os 0.500 0.000 0.000
Os 0.500 0.500 0.500

***

Record 22
Compound: CdOs2
Source: the Alexandria database
Functional: PBE
Structure: relaxed

Summary:
Uncorrected energy in Ry per atom: -0.5491
Excess energy over the best structure of this formula in the dataset in eV/atom: 0.000
Space group: I4/mmm
Density of states at the Fermi level in states/eV per cell: 1.58

a b c (Å): 6.411 6.411 6.411
angles (deg): 154.46 154.46 36.43
Sites, in units of the cell vectors:
Cd 0.000 0.000 0.000
Os 0.316 0.316 0.000
Os 0.684 0.684 0.000

***

Record 23
Compound: Cd3Os
Source: the Alexandria database
Functional: PBE
Structure: relaxed

Summary:
Uncorrected energy in Ry per atom: -0.2248
Excess energy over the best structure of this formula in the dataset in eV/atom: 0.104
Space group: R-3m
Density of states at the Fermi level in states/eV per cell: 3.03

a b c (Å): 10.302 10.302 10.302
angles (deg): 16.40 16.40 16.40
Sites, in units of the cell vectors:
Cd 0.000 0.000 0.000
Cd 0.243 0.243 0.243
Cd 0.757 0.757 0.757
Os 0.500 0.500 0.500

***

Record 24
Compound: CdPOs2
Source: the Alexandria database
Functional: PBE
Structure: relaxed

Summary:
Uncorrected energy in Ry per atom: -0.4971
Excess energy over the best structure of this formula in the dataset in eV/atom: 0.246
Space group: Cmmm
Density of states at the Fermi level in states/eV per cell: 2.25

a b c (Å): 2.909 2.909 8.599
angles (deg): 90.00 90.00 120.11
Sites, in units of the cell vectors:
Cd 0.000 0.000 0.000
P 0.000 0.000 0.500
Os 0.500 0.500 0.294
Os 0.500 0.500 0.706

***

Record 25
Compound: CdPOs2
Source: the Alexandria database
Functional: PBE
Structure: relaxed

Summary:
Uncorrected energy in Ry per atom: -0.4882
Excess energy over the best structure of this formula in the dataset in eV/atom: 0.367
Space group: Cmm2
Density of states at the Fermi level in states/eV per cell: 4.19

a b c (Å): 2.753 2.753 10.584
angles (deg): 90.00 90.00 118.45
Sites, in units of the cell vectors:
Cd 0.000 0.000 0.000
P 0.500 0.500 0.650
Os 0.000 0.000 0.468
Os 0.500 0.500 0.249

***

Record 26
Compound: CdPOs
Source: the Alexandria database
Functional: PBE
Structure: relaxed

Summary:
Uncorrected energy in Ry per atom: -0.4257
Space group: I4mm
Density of states at the Fermi level in states/eV per cell: 1.48

a b c (Å): 5.961 5.961 5.961
angles (deg): 150.82 150.82 41.75
Sites, in units of the cell vectors:
Cd 0.000 0.000 0.000
P 0.290 0.290 0.000
Os 0.688 0.688 0.000

***

Record 27
Compound: CdPOs2
Source: the Alexandria database
Functional: PBE
Structure: relaxed

Summary:
Uncorrected energy in Ry per atom: -0.5152
Excess energy over the best structure of this formula in the dataset in eV/atom: 0.000
Space group: R-3m
Density of states at the Fermi level in states/eV per cell: 1.60

a b c (Å): 8.721 8.721 8.721
angles (deg): 18.90 18.90 18.90
Sites, in units of the cell vectors:
Cd 0.000 0.000 0.000
P 0.500 0.500 0.500
Os 0.234 0.234 0.234
Os 0.766 0.766 0.766

***

Record 28
Compound: CdPOs2
Source: the Alexandria database
Functional: PBE
Structure: relaxed

Summary:
Uncorrected energy in Ry per atom: -0.4940
Excess energy over the best structure of this formula in the dataset in eV/atom: 0.288
Space group: I-42d
Density of states at the Fermi level in states/eV per cell: 6.55

a b c (Å): 5.655 5.655 5.655
angles (deg): 102.66 102.66 124.18
Sites, in units of the cell vectors:
Cd 0.000 0.000 0.000
Cd 0.750 0.250 0.500
P 0.250 0.750 0.500
P 0.500 0.500 0.000
Os 0.200 0.625 0.075
Os 0.375 0.450 0.575
Os 0.550 0.125 0.925
Os 0.875 0.800 0.425

***

For the records above, the corresponding energy relative to the elements values read 371; 977; 485; 654; 1067; 631; 283; 478; 997; 736; 509; 577; 478; 950; 822; 1154; 703; 314; 315; 466; 3607; 321; 435; 432; 553; 60; 186; 474 meV/atom.
For the records above, the corresponding mass density values read 16.98; 13.93; 11.28; 16.53; 12.48; 11.34; 20.16; 11.75; 10.31; 16.73; 11.62; 18.99; 11.65; 5.92; 12.51; 16.88; 16.84; 10.36; 10.48; 11.65; 14.18; 16.73; 11.52; 13.82; 12.33; 11.03; 14.30; 13.16 Mg/m³.